Record 1
Density functional theory data (PBE) for LaSm3N after structural relaxation.

a = 5.112 Å, b = 5.112 Å, c = 5.112 Å
α = 90.00°, β = 90.00°, γ = 90.00°
Fractional positions:
La: 0.000 0.000 0.000
Sm: 0.000 0.500 0.500
Sm: 0.500 0.000 0.500
Sm: 0.500 0.500 0.000
N: 0.500 0.500 0.500

## Properties
Symmetry: Pm-3m
Calculated volume: 133.6 Å³ per cell
Formation energy without anion corrections: -2.17 eV/f.u.



Record 2
Density functional theory data (PBE) for Mn5Rh after structural relaxation.

a = 4.811 Å, b = 4.811 Å, c = 5.992 Å
α = 103.84°, β = 103.84°, γ = 30.82°
Fractional positions:
Mn: 0.000 0.000 0.000
Mn: 0.054 0.054 0.598
Mn: 0.340 0.340 0.654
Mn: 0.394 0.394 0.282
Mn: 0.669 0.669 0.334
Rh: 0.722 0.722 0.936

## Properties
Symmetry: Cm
Calculated volume: 68.8 Å³ per cell
Energy of formation from the pure elements: 15 kJ/mol of formula units



Record 3
Density functional theory data (PBE) for ZnH4Rh3 after structural relaxation.

a = 4.082 Å, b = 4.088 Å, c = 4.273 Å
α = 88.67°, β = 89.20°, γ = 87.56°
Fractional positions:
Zn: 0.000 0.000 0.000
H: 0.288 0.278 0.689
H: 0.293 0.287 0.183
H: 0.607 0.601 0.322
H: 0.793 0.781 0.685
Rh: 0.024 0.517 0.436
Rh: 0.524 0.016 0.437
Rh: 0.532 0.526 0.930

## Properties
Symmetry: P1
Calculated volume: 71.2 Å³ per cell
VASP energy: -0.340 Ry per atom



Repeat the second record exactly.
Density functional theory data (PBE) for Mn5Rh after structural relaxation.

a = 4.811 Å, b = 4.811 Å, c = 5.992 Å
α = 103.84°, β = 103.84°, γ = 30.82°
Fractional positions:
Mn: 0.000 0.000 0.000
Mn: 0.054 0.054 0.598
Mn: 0.340 0.340 0.654
Mn: 0.394 0.394 0.282
Mn: 0.669 0.669 0.334
Rh: 0.722 0.722 0.936

## Properties
Symmetry: Cm
Calculated volume: 68.8 Å³ per cell
Energy of formation from the pure elements: 15 kJ/mol of formula units